No. 1
Material: ZnCrIn
Method: DFT, GGA-PBEsol
State: optimized geometry

Lattice parameters (Å, degrees): 3.0595 3.0595 6.5404 90.00 90.00 120.00
With the nearest neighbours (Å) after each atom.
Fractional positions:
Cr1 0.0000 0.0000 0.0157  3 Zn 2.63, 3 In 2.87
Zn1 0.6667 0.3333 0.3139  3 Cr 2.63, 3 In 2.93
In1 0.3333 0.6667 0.6704  3 Cr 2.87, 3 Zn 2.93, 6 In 3.06

The crystal system is trigonal. The total energy is -4.46 eV/atom. Its density of states at the Fermi level is 1.635 states/eV/f.u. For the theoretical density, the calculation gives 7273 kg/m3.

No. 2
Material: Zr2CrIn
Method: DFT, GGA-PBEsol
State: optimized geometry

Lattice parameters (Å, degrees): 4.1368 4.1368 5.3888 112.57 112.57 90.00
With the nearest neighbours (Å) after each atom.
Fractional positions:
Zr1 0.7500 0.2500 0.5000  4 In 2.93, 4 Zr 3.07, 4 Cr 3.07
In1 0.2500 0.7500 0.5000  8 Zr 2.93-3.07, 4 Cr 3.07
Cr1 0.5000 0.5000 0.0000  8 Zr 2.93-3.07, 4 In 3.07
Zr2 0.0000 0.0000 0.0000  4 Cr 2.93, 4 In 3.07, 4 Zr 3.07

The crystal system is tetragonal. The total energy is -7.79 eV/atom. Its density of states at the Fermi level is 3.590 states/eV/f.u. For the theoretical density, the calculation gives 7488 kg/m3.

No. 3
Material: ZrCrIn2
Method: DFT, GGA-PBEsol
State: optimized geometry

Lattice parameters (Å, degrees): 3.1346 3.1331 7.9051 90.00 90.00 90.00
With the nearest neighbours (Å) after each atom.
Fractional positions:
In1 0.0000 0.0000 0.7292  4 Cr 2.86, 4 Zr 3.08, 4 In 3.13
In2 0.0000 0.0000 0.2708  4 Cr 2.86, 4 Zr 3.08, 4 In 3.13
Cr1 0.5000 0.5000 0.5000  8 In 2.86, 4 Cr 3.13
Zr1 0.5000 0.5000 0.0000  8 In 3.08, 4 Zr 3.13

The crystal system is tetragonal. The total energy is -6.28 eV/atom. Its density of states at the Fermi level is 2.417 states/eV/f.u. For the theoretical density, the calculation gives 7975 kg/m3.